No. 1
18
Lattice="8.1509 0.0000 0.0000 0.0000 7.1830 0.0000 -7.0088 0.0000 10.4546" Properties=species:S:1:pos:R:3 comment="GGA-PBE Bi2SbPb6, optimized geometry" de_polymorph_mev_per_atom=22 e_form_raw_ev_per_atom=0.07 n_ef_per_ev_atom=0.48 spacegroup="No. 14" volume_a3_per_cell=612.1 pbc="T T T"
Bi 0.3724 0.3362 2.4433
Bi -3.1320 3.2553 7.6706
Bi 4.2741 3.9277 2.7840
Bi 0.7697 6.8468 8.0113
Sb 4.0754 0.0000 0.0000
Sb 0.5710 3.5915 5.2273
Pb -5.4939 1.6819 9.7950
Pb -1.9895 1.9096 4.5677
Pb -5.0731 5.0592 9.6058
Pb -1.5687 5.7153 4.3785
Pb 1.0536 3.7289 2.1582
Pb -2.4508 7.0456 7.3855
Pb 3.5928 0.1374 3.0691
Pb 0.0884 3.4541 8.2964
Pb 2.7108 1.4677 6.0761
Pb 6.2152 2.1238 0.8488
Pb 3.1316 5.2734 5.8869
Pb 6.6360 5.5012 0.6596

***

No. 2
10
Lattice="8.6755 0.0000 0.0000 0.0000 8.6755 0.0000 0.0000 0.0000 4.3921" Properties=species:S:1:pos:R:3 comment="GGA-PBE Bi2SbPb2, optimized geometry" de_polymorph_mev_per_atom=87 e_form_raw_ev_per_atom=0.15 n_ef_per_ev_atom=0.56 spacegroup="No. 127" volume_a3_per_cell=330.6 pbc="T T T"
Bi 1.3399 2.9979 0.0000
Bi 2.9979 7.3356 0.0000
Bi 5.6777 1.3399 0.0000
Bi 7.3356 5.6777 0.0000
Sb 0.0000 0.0000 0.0000
Sb 4.3378 4.3378 0.0000
Pb 1.2734 5.6111 2.1960
Pb 3.0644 1.2734 2.1960
Pb 5.6111 7.4021 2.1960
Pb 7.4021 3.0644 2.1960

***

No. 3
10
Lattice="4.3582 0.0000 0.0000 0.0000 4.3582 0.0000 0.0000 0.0000 17.1970" Properties=species:S:1:pos:R:3 comment="GGA-PBE Bi2Sb2Pb, optimized geometry" de_polymorph_mev_per_atom=112 e_form_raw_ev_per_atom=0.16 n_ef_per_ev_atom=0.40 spacegroup="No. 139" volume_a3_per_cell=326.6 pbc="T T T"
Bi 0.0000 0.0000 1.6280
Bi 0.0000 0.0000 15.5690
Bi 2.1791 2.1791 6.9705
Bi 2.1791 2.1791 10.2265
Sb 0.0000 2.1791 4.2993
Sb 0.0000 2.1791 12.8978
Sb 2.1791 0.0000 4.2993
Sb 2.1791 0.0000 12.8978
Pb 0.0000 0.0000 8.5985
Pb 2.1791 2.1791 0.0000

***

No. 4
12
Lattice="4.4044 0.0000 0.0000 -2.2022 3.8143 0.0000 0.0000 0.0000 24.1018" Properties=species:S:1:pos:R:3 comment="GGA-PBE BiSbPb2, optimized geometry" de_polymorph_mev_per_atom=38 e_form_raw_ev_per_atom=0.10 n_ef_per_ev_atom=0.60 spacegroup="No. 160" volume_a3_per_cell=404.9 pbc="T T T"
Bi 0.0000 0.0000 0.0000
Bi 0.0000 2.5429 16.0679
Bi 2.2022 1.2714 8.0339
Sb 0.0000 0.0000 20.0656
Sb 0.0000 2.5429 12.0317
Sb 2.2022 1.2714 3.9977
Pb 0.0000 0.0000 5.8951
Pb 0.0000 0.0000 10.1311
Pb 0.0000 2.5429 2.0971
Pb 0.0000 2.5429 21.9629
Pb 2.2022 1.2714 13.9290
Pb 2.2022 1.2714 18.1650

***

No. 5
16
Lattice="2.9036 -6.4767 0.0000 2.9036 6.4767 0.0000 0.0000 0.0000 13.5658" Properties=species:S:1:pos:R:3 comment="GGA-PBE BiSb2Pb5, optimized geometry" de_polymorph_mev_per_atom=35 e_form_raw_ev_per_atom=0.06 n_ef_per_ev_atom=0.40 spacegroup="No. 63" volume_a3_per_cell=510.2 pbc="T T T"
Bi 2.9036 4.0669 10.1744
Bi 2.9036 -4.0669 3.3915
Sb 2.9036 2.1853 1.7413
Sb 2.9036 2.1853 5.0416
Sb 2.9036 -2.1853 8.5242
Sb 2.9036 -2.1853 11.8246
Pb 2.9036 5.5847 3.3915
Pb 2.9036 4.7631 6.8501
Pb 2.9036 4.7631 13.4987
Pb 2.9036 0.9878 8.3663
Pb 2.9036 0.9878 11.9825
Pb 2.9036 -0.9878 1.5834
Pb 2.9036 -0.9878 5.1995
Pb 2.9036 -4.7631 0.0672
Pb 2.9036 -4.7631 6.7157
Pb 2.9036 -5.5847 10.1744

***

No. 6
22
Lattice="2.3194 -6.8063 0.0000 2.3194 6.8063 0.0000 0.0000 0.0000 23.8184" Properties=species:S:1:pos:R:3 comment="GGA-PBE Bi4SbPb6, optimized geometry" e_form_raw_ev_per_atom=0.07 n_ef_per_ev_atom=0.53 spacegroup="No. 63" volume_a3_per_cell=752.0 pbc="T T T"
Bi 2.3194 6.0643 14.9815
Bi 2.3194 6.0643 20.7461
Bi 2.3194 2.3095 12.6101
Bi 2.3194 2.3095 23.1174
Bi 2.3194 -2.3095 0.7010
Bi 2.3194 -2.3095 11.2082
Bi 2.3194 -6.0643 3.0723
Bi 2.3194 -6.0643 8.8369
Sb 2.3194 3.9843 5.9546
Sb 2.3194 -3.9843 17.8638
Pb 0.0000 0.0000 0.0000
Pb 0.0000 0.0000 11.9092
Pb 2.3194 4.8695 17.8638
Pb 2.3194 3.0417 2.7238
Pb 2.3194 3.0417 9.1854
Pb 2.3194 1.2310 15.9923
Pb 2.3194 1.2310 19.7353
Pb 2.3194 -1.2310 4.0831
Pb 2.3194 -1.2310 7.8261
Pb 2.3194 -3.0417 14.6330
Pb 2.3194 -3.0417 21.0946
Pb 2.3194 -4.8695 5.9546

***

No. 7
10
Lattice="8.7925 0.0000 0.0000 0.0000 8.7925 0.0000 0.0000 0.0000 4.1107" Properties=species:S:1:pos:R:3 comment="GGA-PBE Bi2Sb2Pb, optimized geometry" de_polymorph_mev_per_atom=99 e_form_raw_ev_per_atom=0.15 n_ef_per_ev_atom=0.58 spacegroup="No. 127" volume_a3_per_cell=317.8 pbc="T T T"
Bi 1.2533 3.1429 0.0000
Bi 3.1429 7.5391 0.0000
Bi 5.6496 1.2533 0.0000
Bi 7.5391 5.6496 0.0000
Sb 1.5021 5.8984 2.0553
Sb 2.8941 1.5021 2.0553
Sb 5.8984 7.2904 2.0553
Sb 7.2904 2.8941 2.0553
Pb 0.0000 0.0000 0.0000
Pb 4.3962 4.3962 0.0000

***

No. 8
10
Lattice="8.6120 0.0000 0.0000 0.0000 8.6120 0.0000 0.0000 0.0000 4.3050" Properties=species:S:1:pos:R:3 comment="GGA-PBE BiSb2Pb2, optimized geometry" de_polymorph_mev_per_atom=7 e_form_raw_ev_per_atom=0.10 n_ef_per_ev_atom=0.46 spacegroup="No. 127" volume_a3_per_cell=319.3 pbc="T T T"
Bi 0.0000 0.0000 0.0000
Bi 4.3060 4.3060 0.0000
Sb 1.3667 2.9393 0.0000
Sb 2.9393 7.2453 0.0000
Sb 5.6727 1.3667 0.0000
Sb 7.2453 5.6727 0.0000
Pb 1.2545 5.5605 2.1525
Pb 3.0515 1.2545 2.1525
Pb 5.5605 7.3575 2.1525
Pb 7.3575 3.0515 2.1525